<a>
A plane-wave DFT calculation with PBE was carried out for a geometry-optimized Sc3TiHg structure.

Its space-group type is Pm-3m (221). The magnetic moment is 0.88 μB/atom.

Cell and atoms, written as extended XYZ:
```
5
Lattice="5.260 0.000 0.000 0.000 5.260 0.000 0.000 0.000 5.260" Properties=species:S:1:pos:R:3 pbc="T T T"
Sc 0.000 0.000 2.630
Sc 0.000 2.630 0.000
Sc 2.630 0.000 0.000
Ti 2.630 2.630 2.630
Hg 0.000 0.000 0.000
```

<b>
A plane-wave DFT calculation with PBE was carried out for a geometry-optimized Sc3TiHg structure.

Its space-group type is Pm-3m (221). The magnetic moment is 0.00 μB/atom.

Cell and atoms, written as extended XYZ:
```
5
Lattice="4.998 0.000 0.000 0.000 4.998 0.000 0.000 0.000 4.998" Properties=species:S:1:pos:R:3 pbc="T T T"
Sc 0.000 0.000 2.499
Sc 0.000 2.499 0.000
Sc 2.499 0.000 0.000
Ti 0.000 0.000 0.000
Hg 2.499 2.499 2.499
```

The most stable of them is <b>.

<a>
A plane-wave DFT calculation with PBE was carried out for a geometry-optimized ScTl2Hg2 structure.

Its space-group type is P4/mbm (127). The magnetic moment is 0.00 μB/atom.

Cell and atoms, written as extended XYZ:
```
10
Lattice="7.914 0.000 0.000 0.000 7.914 0.000 0.000 0.000 4.250" Properties=species:S:1:pos:R:3 pbc="T T T"
Sc 0.000 0.000 0.000
Sc 3.957 3.957 0.000
Tl 1.352 2.605 2.125
Tl 2.605 6.562 2.125
Tl 5.310 1.352 2.125
Tl 6.562 5.310 2.125
Hg 1.073 5.030 0.000
Hg 2.884 1.073 0.000
Hg 5.030 6.841 0.000
Hg 6.841 2.884 0.000
```

<b>
A plane-wave DFT calculation with PBE was carried out for a geometry-optimized ScTl2Hg2 structure.

Its space-group type is P4/mbm (127). The magnetic moment is 0.04 μB/atom.

Cell and atoms, written as extended XYZ:
```
10
Lattice="8.113 0.000 0.000 0.000 8.113 0.000 0.000 0.000 4.039" Properties=species:S:1:pos:R:3 pbc="T T T"
Sc 0.000 0.000 0.000
Sc 4.057 4.057 0.000
Tl 1.142 2.914 0.000
Tl 2.914 6.971 0.000
Tl 5.199 1.142 0.000
Tl 6.971 5.199 0.000
Hg 1.323 5.379 2.019
Hg 2.734 1.323 2.019
Hg 5.379 6.790 2.019
Hg 6.790 2.734 2.019
```

The most stable of them is <a>.

<a>
A plane-wave DFT calculation with PBE was carried out for a geometry-optimized Sc3TlHg structure.

Its space-group type is Pm-3m (221). The magnetic moment is 0.27 μB/atom.

Cell and atoms, written as extended XYZ:
```
15
Lattice="7.062 0.000 0.000 0.000 7.062 0.000 0.000 0.000 7.062" Properties=species:S:1:pos:R:3 pbc="T T T"
Sc 0.000 0.000 0.000
Sc 1.860 1.860 1.860
Sc 1.860 1.860 5.202
Sc 1.860 5.202 1.860
Sc 1.860 5.202 5.202
Sc 5.202 1.860 1.860
Sc 5.202 1.860 5.202
Sc 5.202 5.202 1.860
Sc 5.202 5.202 5.202
Tl 0.000 0.000 3.531
Tl 0.000 3.531 0.000
Tl 3.531 0.000 0.000
Hg 0.000 3.531 3.531
Hg 3.531 0.000 3.531
Hg 3.531 3.531 0.000
```

<b>
A plane-wave DFT calculation with PBE was carried out for a geometry-optimized Sc3TlHg structure.

Its space-group type is Pm-3m (221). The magnetic moment is 0.36 μB/atom.

Cell and atoms, written as extended XYZ:
```
5
Lattice="5.360 0.000 0.000 0.000 5.360 0.000 0.000 0.000 5.360" Properties=species:S:1:pos:R:3 pbc="T T T"
Sc 0.000 0.000 2.680
Sc 0.000 2.680 0.000
Sc 2.680 0.000 0.000
Tl 0.000 0.000 0.000
Hg 2.680 2.680 2.680
```

The most stable of them is <a>.

<a>
A plane-wave DFT calculation with PBE was carried out for a geometry-optimized Sc3TlHg structure.

Its space-group type is Cmcm (63). The magnetic moment is 0.36 μB/atom.

Cell and atoms, written as extended XYZ:
```
10
Lattice="2.511 -9.135 0.000 2.511 9.135 0.000 0.000 0.000 5.022" Properties=species:S:1:pos:R:3 pbc="T T T"
Sc 2.511 8.136 3.767
Sc 2.511 4.570 3.767
Sc 2.511 1.008 3.767
Sc 2.511 -1.008 1.256
Sc 2.511 -4.570 1.256
Sc 2.511 -8.136 1.256
Tl 2.511 6.392 1.256
Tl 2.511 -6.392 3.767
Hg 2.511 2.684 1.256
Hg 2.511 -2.684 3.767
```

<b>
A plane-wave DFT calculation with PBE was carried out for a geometry-optimized Sc3TlHg structure.

Its space-group type is Pm-3m (221). The magnetic moment is 0.00 μB/atom.

Cell and atoms, written as extended XYZ:
```
5
Lattice="5.285 0.000 0.000 0.000 5.285 0.000 0.000 0.000 5.285" Properties=species:S:1:pos:R:3 pbc="T T T"
Sc 0.000 0.000 2.643
Sc 0.000 2.643 0.000
Sc 2.643 0.000 0.000
Tl 2.643 2.643 2.643
Hg 0.000 0.000 0.000
```

The most stable of them is <a>.

<a>
A plane-wave DFT calculation with PBE was carried out for a geometry-optimized Sc4TlHg structure.

Its space-group type is R-3m (166). The magnetic moment is 0.00 μB/atom.

Cell and atoms, written as extended XYZ:
```
6
Lattice="2.417 1.396 7.884 -2.417 1.396 7.884 0.000 -2.791 7.884" Properties=species:S:1:pos:R:3 pbc="T T T"
Sc 0.000 0.000 2.887
Sc 0.000 0.000 8.802
Sc 0.000 0.000 14.850
Sc 0.000 0.000 20.765
Tl 0.000 0.000 11.826
Hg 0.000 0.000 0.000
```

<b>
A plane-wave DFT calculation with PBE was carried out for a geometry-optimized Sc4TlHg structure.

Its space-group type is F-43m (216). The magnetic moment is 0.00 μB/atom.

Cell and atoms, written as extended XYZ:
```
6
Lattice="0.000 4.172 4.172 4.172 0.000 4.172 4.172 4.172 0.000" Properties=species:S:1:pos:R:3 pbc="T T T"
Sc 1.041 1.041 1.041
Sc 3.131 3.131 1.041
Sc 3.131 1.041 3.131
Sc 1.041 3.131 3.131
Tl 6.258 6.258 6.258
Hg 4.172 4.172 4.172
```

<c>
A plane-wave DFT calculation with PBE was carried out for a geometry-optimized Sc4TlHg structure.

Its space-group type is C2/m (12). The magnetic moment is 0.27 μB/atom.

Cell and atoms, written as extended XYZ:
```
12
Lattice="13.163 0.000 0.000 0.000 3.313 0.000 -1.673 0.000 6.427" Properties=species:S:1:pos:R:3 pbc="T T T"
Sc 1.564 0.000 2.152
Sc 0.757 0.000 5.318
Sc 4.151 1.657 1.109
Sc 3.344 1.657 4.275
Sc 8.145 1.657 2.152
Sc 7.338 1.657 5.318
Sc 10.733 0.000 1.109
Sc 9.926 0.000 4.275
Tl 0.000 1.657 0.000
Tl 6.581 0.000 0.000
Hg -0.837 1.657 3.214
Hg 5.745 0.000 3.214
```

The most stable of them is <c>.

<a>
A plane-wave DFT calculation with PBE was carried out for a geometry-optimized Sc6TlHg structure.

Its space-group type is C2/m (12). The magnetic moment is 0.00 μB/atom.

Cell and atoms, written as extended XYZ:
```
16
Lattice="8.270 0.000 0.000 0.000 6.206 0.000 -2.839 0.000 8.121" Properties=species:S:1:pos:R:3 pbc="T T T"
Sc -0.044 0.000 3.654
Sc -0.767 1.526 6.461
Sc -0.767 4.680 6.461
Sc 2.063 1.577 1.660
Sc 2.063 4.629 1.660
Sc 1.340 3.103 4.467
Sc 4.091 3.103 3.654
Sc 3.368 1.577 6.461
Sc 3.368 4.629 6.461
Sc 6.198 1.526 1.660
Sc 6.198 4.680 1.660
Sc 5.475 0.000 4.467
Tl 0.000 0.000 0.000
Tl 4.135 3.103 0.000
Hg -1.420 3.103 4.061
Hg 2.715 0.000 4.061
```

<b>
A plane-wave DFT calculation with PBE was carried out for a geometry-optimized Sc6TlHg structure.

Its space-group type is P4/mmm (123). The magnetic moment is 0.34 μB/atom.

Cell and atoms, written as extended XYZ:
```
8
Lattice="4.501 0.000 0.000 0.000 4.501 0.000 0.000 0.000 8.987" Properties=species:S:1:pos:R:3 pbc="T T T"
Sc 0.000 0.000 0.000
Sc 0.000 0.000 4.493
Sc 0.000 2.251 2.211
Sc 0.000 2.251 6.776
Sc 2.251 0.000 2.211
Sc 2.251 0.000 6.776
Tl 2.251 2.251 4.493
Hg 2.251 2.251 0.000
```

The most stable of them is <b>.

<a>
A plane-wave DFT calculation with PBE was carried out for a geometry-optimized TmSc2Hg structure.

Its space-group type is F-43m (216). The magnetic moment is 0.24 μB/atom.

Cell and atoms, written as extended XYZ:
```
16
Lattice="7.279 0.000 0.000 0.000 7.279 0.000 0.000 0.000 7.279" Properties=species:S:1:pos:R:3 pbc="T T T"
Tm 0.000 0.000 0.000
Tm 0.000 3.640 3.640
Tm 3.640 0.000 3.640
Tm 3.640 3.640 0.000
Sc 0.000 0.000 3.640
Sc 0.000 3.640 0.000
Sc 1.820 1.820 1.820
Sc 1.820 5.460 5.460
Sc 3.640 0.000 0.000
Sc 3.640 3.640 3.640
Sc 5.460 1.820 5.460
Sc 5.460 5.460 1.820
Hg 1.820 1.820 5.460
Hg 1.820 5.460 1.820
Hg 5.460 1.820 1.820
Hg 5.460 5.460 5.460
```

<b>
A plane-wave DFT calculation with PBE was carried out for a geometry-optimized TmSc2Hg structure.

Its space-group type is P4/mmm (123). The magnetic moment is 0.22 μB/atom.

Cell and atoms, written as extended XYZ:
```
4
Lattice="4.547 0.000 0.000 0.000 4.547 0.000 0.000 0.000 4.603" Properties=species:S:1:pos:R:3 pbc="T T T"
Tm 0.000 0.000 0.000
Sc 0.000 2.274 2.302
Sc 2.274 0.000 2.302
Hg 2.274 2.274 0.000
```

<c>
A plane-wave DFT calculation with PBE was carried out for a geometry-optimized TmSc2Hg structure.

Its space-group type is R-3m (166). The magnetic moment is 0.00 μB/atom.

Cell and atoms, written as extended XYZ:
```
12
Lattice="3.407 0.000 0.000 -1.703 2.950 0.000 0.000 0.000 30.250" Properties=species:S:1:pos:R:3 pbc="T T T"
Tm 0.000 0.000 0.000
Tm 0.000 1.967 20.167
Tm 1.703 0.983 10.083
Sc 0.000 0.000 7.357
Sc 0.000 0.000 22.893
Sc 0.000 1.967 12.810
Sc 0.000 1.967 27.523
Sc 1.703 0.983 2.726
Sc 1.703 0.983 17.440
Hg 0.000 0.000 15.125
Hg 0.000 1.967 5.042
Hg 1.703 0.983 25.208
```

The most stable of them is <b>.

<a>
A plane-wave DFT calculation with PBE was carried out for a geometry-optimized Tm2ScHg4 structure.

Its space-group type is R-3m (166). The magnetic moment is 0.00 μB/atom.

Cell and atoms, written as extended XYZ:
```
7
Lattice="2.482 1.433 8.477 -2.482 1.433 8.477 0.000 -2.865 8.477" Properties=species:S:1:pos:R:3 pbc="T T T"
Tm 0.000 0.000 6.269
Tm 0.000 0.000 19.162
Sc 0.000 0.000 0.000
Hg 0.000 0.000 3.229
Hg 0.000 0.000 9.469
Hg 0.000 0.000 15.963
Hg 0.000 0.000 22.203
```

<b>
A plane-wave DFT calculation with PBE was carried out for a geometry-optimized Tm2ScHg4 structure.

Its space-group type is I4/mmm (139). The magnetic moment is 0.00 μB/atom.

Cell and atoms, written as extended XYZ:
```
14
Lattice="5.396 0.000 0.000 0.000 5.396 0.000 0.000 0.000 14.979" Properties=species:S:1:pos:R:3 pbc="T T T"
Tm 0.000 0.000 1.582
Tm 0.000 0.000 13.397
Tm 2.698 2.698 5.908
Tm 2.698 2.698 9.071
Sc 0.000 0.000 7.489
Sc 2.698 2.698 0.000
Hg 0.000 0.000 4.580
Hg 0.000 0.000 10.398
Hg 0.000 2.698 0.000
Hg 0.000 2.698 7.489
Hg 2.698 0.000 0.000
Hg 2.698 0.000 7.489
Hg 2.698 2.698 2.909
Hg 2.698 2.698 12.070
```

The most stable of them is <a>.